1.
First-principles (GGA-PBE) data for a relaxed structure of TaAlRe2, as listed in the Alexandria database.

a = 4.449 Å, b = 4.449 Å, c = 4.449 Å
α = 60.00°, β = 60.00°, γ = 60.00°
Fractional positions:
Re: 0.000 0.000 0.000
Re: 0.250 0.250 0.250
Al: 0.500 0.500 0.500
Ta: 0.750 0.750 0.750

* ΔH_f (0 K): 0.00 eV/atom
* total DFT energy (no corrections): -10.118 eV/atom
* DOS at the Fermi energy: 5.27 states/eV per cell

---

2.
First-principles (GGA-PBE) data for a relaxed structure of YSbS2F, as listed in the Alexandria database.

a = 5.318 Å, b = 4.209 Å, c = 5.318 Å
α = 90.00°, β = 90.00°, γ = 90.00°
Fractional positions:
Y: 0.000 0.000 0.000
Sb: 0.500 0.500 0.500
S: 0.000 0.000 0.500
S: 0.500 0.000 0.000
F: 0.000 0.500 0.000

* total DFT energy (no corrections): -5.569 eV/atom
* DOS at the Fermi energy: 3.02 states/eV per cell
* energy relative to the elements, uncorrected: -1.4268 eV per atom